No. 1
Compound: BaSnSCl2
Source: Alexandria via LeMat-Bulk
Functional: PBE
Structure: optimized geometry

Lattice parameters (Å, degrees): 5.389 5.389 5.548 90.00 90.00 90.00
Space group P4/mmm (No. 123)
Unique sites:
Ba 0.000 0.000 0.000 (multiplicity 1)
Sn 0.500 0.500 0.500 (multiplicity 1)
S 0.500 0.500 0.000 (multiplicity 1)
Cl 0.000 0.500 0.500 (multiplicity 2)

For the total energy, the calculation gives -4.016 eV per atom. As for the polymorph energy (0 for the lowest one): 0.0 meV per atom.


No. 2
Compound: Ba2SnS2Cl2
Source: Alexandria via LeMat-Bulk
Functional: PBE
Structure: optimized geometry

Lattice parameters (Å, degrees): 5.411 5.411 16.002 90.00 90.00 90.00
Space group I4/mmm (No. 139)
Unique sites:
Ba 0.000 0.000 0.120 (multiplicity 4)
Sn 0.000 0.000 0.500 (multiplicity 2)
S 0.000 0.500 0.000 (multiplicity 4)
Cl 0.000 0.000 0.309 (multiplicity 4)

For the total energy, the calculation gives -4.466 eV per atom.


No. 3
Compound: BaSrS2Cl
Source: Alexandria via LeMat-Bulk
Functional: PBE
Structure: optimized geometry

Lattice parameters (Å, degrees): 5.540 5.540 5.489 90.00 90.00 90.00
Space group P4/mmm (No. 123)
Unique sites:
Ba 0.000 0.000 0.000 (multiplicity 1)
Sr 0.500 0.500 0.500 (multiplicity 1)
S 0.000 0.500 0.500 (multiplicity 2)
Cl 0.500 0.500 0.000 (multiplicity 1)

For the total energy, the calculation gives -4.250 eV per atom. As for the polymorph energy (0 for the lowest one): 0.0 meV per atom.


No. 4
Compound: BaSrS2Cl
Source: Alexandria via LeMat-Bulk
Functional: PBE
Structure: optimized geometry

Lattice parameters (Å, degrees): 5.747 5.747 5.724 90.00 90.00 90.00
Space group P4/mmm (No. 123)
Unique sites:
Ba 0.000 0.000 0.000 (multiplicity 1)
Sr 0.500 0.500 0.500 (multiplicity 1)
S 0.000 0.500 0.000 (multiplicity 2)
Cl 0.000 0.000 0.500 (multiplicity 1)

For the total energy, the calculation gives -3.897 eV per atom. As for the polymorph energy (0 for the lowest one): 352.5 meV per atom.


So what do the calculations give for ΔE_f (raw)? Going down the list: -1267.0, -1637.4, -1508.3, -1155.7 meV/atom.